(1)
This record from the Alexandria database describes a relaxed DyTlAgI5 crystal. The functional is PBE-GGA.

```
data_DyTlAgI5
_symmetry_space_group_name_H-M 'C 1 2/c 1'
_symmetry_Int_Tables_number 15
_cell_length_a 9.829
_cell_length_b 13.720
_cell_length_c 11.324
_cell_angle_alpha 90.00
_cell_angle_beta 111.93
_cell_angle_gamma 90.00
loop_
_symmetry_equiv_pos_as_xyz
'x,y,z'
'-x,-y,-z'
'-x,y,-z+1/2'
'x,-y,z+1/2'
'x+1/2,y+1/2,z'
'-x+1/2,-y+1/2,-z'
'-x+1/2,y+1/2,-z+1/2'
'x+1/2,-y+1/2,z+1/2'
loop_
_atom_site_label
_atom_site_fract_x
_atom_site_fract_y
_atom_site_fract_z
Dy1 0.000 0.000 0.000
Tl1 0.000 0.373 0.250
Ag1 0.000 0.310 0.750
I1 0.000 0.087 0.250
I2 0.129 0.194 0.614
I3 0.187 0.434 0.950
```

Computed properties:
DOS(E_F), states/eV/f.u.: 0.00
Density, Mg/m³: 5.20
Crystal system: monoclinic
Calculated total energy, eV per atom: -3.0919

***

(2)
This record from the Alexandria database describes a relaxed CaAcGe2Pd5 crystal. The functional is PBE-GGA.

```
data_CaAcGe2Pd5
_symmetry_space_group_name_H-M 'P 4/m m m'
_symmetry_Int_Tables_number 123
_symmetry_space_group_name_Hall '-P 4 2'
_cell_length_a 4.403
_cell_length_b 4.403
_cell_length_c 9.136
_cell_angle_alpha 90.00
_cell_angle_beta 90.00
_cell_angle_gamma 90.00
loop_
_atom_site_label
_atom_site_fract_x
_atom_site_fract_y
_atom_site_fract_z
Ca1 0.000 0.000 0.000
Ac1 0.000 0.000 0.500
Ge1 0.500 0.500 0.138
Pd1 0.000 0.500 0.265
Pd2 0.500 0.500 0.500
```

Computed properties:
DOS(E_F), states/eV/f.u.: 5.87
Density, Mg/m³: 8.86
Crystal system: tetragonal
DFT formation energy, eV per atom: -0.74
Calculated total energy, eV per atom: -5.3250

***

Q: Look up the calculated total energy of the first one.
A: -3.0919 eV per atom

***

Q: Look up the calculated total energy of the second one.
A: -5.3250 eV per atom